i.
VASP calculation (PBE-GGA) on a relaxed structure of Dy4ThSc3.

abc: 12.949 11.150 3.363
angles: 90.00 104.96 90.00
Positions (direct):
Dy  0.133  0.243  0.134
Dy  0.133  0.757  0.134
Dy  0.367  0.257  0.866
Dy  0.367  0.743  0.866
Dy  0.633  0.257  0.134
Dy  0.633  0.743  0.134
Dy  0.867  0.243  0.866
Dy  0.867  0.757  0.866
Th  0.000  0.500  0.500
Th  0.500  0.000  0.500
Sc  0.000  0.000  0.000
Sc  0.239  0.000  0.740
Sc  0.261  0.500  0.260
Sc  0.500  0.500  0.000
Sc  0.739  0.500  0.740
Sc  0.761  0.000  0.260

Computed properties:
As for the density: 7.20 Mg/m³.


ii.
VASP calculation (PBE-GGA) on a relaxed structure of Dy4ThSc3.

abc: 6.906 9.704 6.846
angles: 90.00 90.00 90.00
Positions (direct):
Dy  0.000  0.000  0.000
Dy  0.000  0.500  0.000
Dy  0.250  0.250  0.254
Dy  0.250  0.250  0.742
Dy  0.500  0.000  0.000
Dy  0.500  0.500  0.000
Dy  0.750  0.750  0.258
Dy  0.750  0.750  0.746
Th  0.250  0.750  0.261
Th  0.750  0.250  0.739
Sc  0.000  0.000  0.500
Sc  0.000  0.500  0.500
Sc  0.250  0.750  0.748
Sc  0.500  0.000  0.500
Sc  0.500  0.500  0.500
Sc  0.750  0.250  0.252

Computed properties:
As for the density: 7.36 Mg/m³.


Of them, i has the lowest stability.


i.
VASP calculation (PBE-GGA) on a relaxed structure of Dy2Th3Sc3.

abc: 4.750 4.924 19.929
angles: 90.00 90.00 90.00
Positions (direct):
Dy  0.000  0.000  0.249
Dy  0.000  0.000  0.751
Dy  0.500  0.500  0.251
Dy  0.500  0.500  0.749
Th  0.000  0.000  0.000
Th  0.000  0.500  0.123
Th  0.000  0.500  0.877
Th  0.500  0.000  0.377
Th  0.500  0.000  0.623
Th  0.500  0.500  0.500
Sc  0.000  0.000  0.500
Sc  0.000  0.500  0.377
Sc  0.000  0.500  0.623
Sc  0.500  0.000  0.123
Sc  0.500  0.000  0.877
Sc  0.500  0.500  0.000

Computed properties:
As for the density: 8.24 Mg/m³.


ii.
VASP calculation (PBE-GGA) on a relaxed structure of Dy2Th3Sc3.

abc: 8.810 8.810 3.493
angles: 90.00 90.00 120.00
Positions (direct):
Dy  0.333  0.667  0.000
Dy  0.667  0.333  0.000
Th  0.000  0.232  0.000
Th  0.232  0.000  0.000
Th  0.768  0.768  0.000
Sc  0.000  0.607  0.500
Sc  0.393  0.393  0.500
Sc  0.607  0.000  0.500

Computed properties:
As for the density: 8.18 Mg/m³.


Of them, ii has the lowest stability.